VASP calculation (PBE) on an optimized crystal structure of LiHI2O.

Lattice parameters (Å, degrees): 5.7757 5.7757 2.8942 90.00 90.00 90.00
Closest atoms and distances in Å follow each position.
Sites, in units of the cell vectors:
1 Li 0.5000 0.5000 0.5000  2 Li 2.89, 8 I 3.23
2 I 0.0000 0.5000 0.0000  2 H 2.89, 2 I 2.89, 4 O 3.23, 4 Li 3.23
3 I 0.5000 0.0000 0.0000  2 H 2.89, 2 I 2.89, 4 O 3.23, 4 Li 3.23
4 O 0.0000 0.0000 0.5000  2 H 1.45
5 H 0.0000 0.0000 0.0000  2 O 1.45

Its calculated total energy is -13.29 eV for the cell shown. As for the crystal system: tetragonal. The value obtained for the density of states at the Fermi level is 4.0 states/eV per cell. The space group is P4/mmm, No. 123. The value obtained for the energy relative to the lowest polymorph listed for this composition is 0.00 eV/f.u.